Record 1
RuWSe2N after structural relaxation. Source: Alexandria via LeMat-Bulk, functional PBE.

Cell and atoms, written as POSCAR:
```
RuWSe2N
1.0
5.012 0.000 0.000
0.000 5.012 0.000
0.000 0.000 3.608
Ru W Se N
1 1 2 1
Cartesian
0.000 0.000 0.000 Ru
2.506 2.506 1.804 W
0.000 2.506 0.000 Se
2.506 0.000 0.000 Se
0.000 0.000 1.804 N
```

Output
crystal system	tetragonal
raw formation energy	0.98	eV per atom
symmetry	P4/mmm, No. 123
energy	-32.6	eV per cell

=====

Record 2
CrAgC2 after structural relaxation. Source: Alexandria via LeMat-Bulk, functional PBE.

Cell and atoms, written as POSCAR:
```
CrAgC2
1.0
-2.376 2.376 4.561
2.376 -2.376 4.561
2.376 2.376 -4.561
Cr Ag C
2 2 4
Cartesian
0.000 0.000 0.000 Cr
0.000 2.376 2.280 Cr
2.376 0.000 2.280 Ag
0.000 0.000 4.561 Ag
3.563 0.828 -1.140 C
0.828 1.188 1.140 C
-1.188 1.547 3.421 C
1.547 1.188 5.701 C
```

Output
ΔH_f (0 K)	1.085	eV/atom
crystal system	tetragonal
symmetry	I-42d, No. 122
energy	-53.2	eV per cell

=====

Record 3
TcOs3 after structural relaxation. Source: Alexandria via LeMat-Bulk, functional PBE.

Cell and atoms, written as POSCAR:
```
TcOs3
1.0
5.498 0.000 0.000
-2.749 4.761 0.000
0.000 0.000 8.788
Tc Os
4 12
Cartesian
0.000 0.000 0.000 Tc
0.000 0.000 4.394 Tc
0.000 3.174 2.197 Tc
2.749 1.587 6.591 Tc
-1.375 2.381 0.000 Os
-1.375 2.381 4.394 Os
0.000 1.583 6.591 Os
-1.378 3.970 6.591 Os
1.371 0.792 2.197 Os
2.749 0.000 0.000 Os
2.749 0.000 4.394 Os
1.375 2.381 0.000 Os
1.375 2.381 4.394 Os
1.378 3.970 6.591 Os
4.127 0.792 2.197 Os
2.749 3.178 2.197 Os
```

Output
ΔH_f (0 K)	0.031	eV/atom
crystal system	hexagonal
symmetry	P6_3/mmc, No. 194
energy	-175.7	eV per cell

=====

Record 4
NaMoPb2 after structural relaxation. Source: Alexandria via LeMat-Bulk, functional PBE.

Cell and atoms, written as POSCAR:
```
NaMoPb2
1.0
0.000 3.607 3.607
3.607 0.000 3.607
3.607 3.607 0.000
Na Mo Pb
1 1 2
Cartesian
0.000 0.000 0.000 Na
3.607 3.607 3.607 Mo
1.804 1.804 1.804 Pb
5.411 5.411 5.411 Pb
```

Output
ΔH_f (0 K)	0.559	eV/atom
crystal system	cubic
symmetry	Fm-3m, No. 225
energy	-17.3	eV per cell

=====

Record 5
TaTiAs2Se after structural relaxation. Source: Alexandria via LeMat-Bulk, functional PBE.

Cell and atoms, written as POSCAR:
```
TaTiAs2Se
1.0
4.814 0.000 0.000
0.000 4.814 0.000
0.000 0.000 4.738
Ta Ti As Se
1 1 2 1
Cartesian
0.000 0.000 0.000 Ta
2.407 2.407 2.369 Ti
0.000 2.407 2.369 As
2.407 0.000 2.369 As
2.407 2.407 0.000 Se
```

Output
crystal system	tetragonal
raw formation energy	0.65	eV per atom
symmetry	P4/mmm, No. 123
energy	-29.3	eV per cell

=====

Record 6
BeAlTe2 after structural relaxation. Source: Alexandria via LeMat-Bulk, functional PBE.

Cell and atoms, written as POSCAR:
```
BeAlTe2
1.0
1.769 1.021 8.853
-1.769 1.021 8.853
0.000 -2.042 8.853
Be Al Te
1 1 2
Cartesian
0.000 0.000 0.000 Be
0.000 0.000 13.279 Al
0.000 0.000 10.389 Te
0.000 0.000 16.169 Te
```

Output
crystal system	trigonal
raw formation energy	0.26	eV per atom
symmetry	R-3m, No. 166
energy	-12.7	eV per cell

=====

Record 7
Sc4ZnPtRh2 after structural relaxation. Source: Alexandria via LeMat-Bulk, functional PBE.

Cell and atoms, written as POSCAR:
```
Sc4ZnPtRh2
1.0
2.311 1.334 7.593
-2.311 1.334 7.593
0.000 -2.668 7.593
Sc Zn Pt Rh
4 1 1 2
Cartesian
0.000 0.000 2.818 Sc
0.000 0.000 8.521 Sc
0.000 0.000 14.258 Sc
0.000 0.000 19.961 Sc
0.000 0.000 11.389 Zn
0.000 0.000 0.000 Pt
0.000 0.000 5.681 Rh
0.000 0.000 17.098 Rh
```

Output
ΔH_f (0 K)	-0.911	eV/atom
crystal system	trigonal
symmetry	R-3m, No. 166
energy	-54.6	eV per cell

=====

Record 8
ScAgHgPb after structural relaxation. Source: Alexandria via LeMat-Bulk, functional PBE.

Cell and atoms, written as POSCAR:
```
ScAgHgPb
1.0
0.000 3.553 3.553
3.553 0.000 3.553
3.553 3.553 0.000
Sc Ag Hg Pb
1 1 1 1
Cartesian
0.000 0.000 0.000 Sc
3.553 3.553 3.553 Ag
1.777 1.777 1.777 Hg
5.330 5.330 5.330 Pb
```

Output
ΔH_f (0 K)	-0.158	eV/atom
crystal system	cubic
symmetry	F-43m, No. 216
energy	-13.8	eV per cell

=====

Record 9
Ce2SmTaN5 after structural relaxation. Source: Alexandria via LeMat-Bulk, functional PBE.

Cell and atoms, written as POSCAR:
```
Ce2SmTaN5
1.0
1.768 -7.150 0.000
1.768 7.150 0.000
0.000 0.000 10.422
Ce Sm Ta N
4 2 2 10
Cartesian
1.768 5.602 5.211 Ce
1.768 5.228 0.866 Ce
1.768 -5.228 6.077 Ce
1.768 -5.602 0.000 Ce
1.768 3.977 8.354 Sm
1.768 -3.977 3.143 Sm
1.768 0.360 2.870 Ta
1.768 -0.360 8.082 Ta
1.768 6.408 8.989 N
1.768 3.139 5.072 N
1.768 2.292 1.877 N
1.768 1.616 8.705 N
1.768 0.255 6.197 N
1.768 -0.255 0.986 N
1.768 -1.616 3.494 N
1.768 -2.292 7.088 N
1.768 -3.139 10.283 N
1.768 -6.408 3.778 N
```

Output
crystal system	orthorhombic
raw formation energy	-1.31	eV per atom
symmetry	Cmc2_1, No. 36
energy	-163.7	eV per cell

=====

Record 10
LiCa2Si after structural relaxation. Source: Alexandria via LeMat-Bulk, functional PBE.

Cell and atoms, written as POSCAR:
```
LiCa2Si
1.0
-1.718 2.572 6.035
1.718 -2.572 6.035
1.718 2.572 -6.035
Li Ca Si
1 2 1
Cartesian
0.000 0.000 0.000 Li
0.000 0.000 4.596 Ca
0.000 2.572 2.137 Ca
1.718 0.000 2.037 Si
```

Output
crystal system	orthorhombic
raw formation energy	-0.15	eV per atom
symmetry	Imm2, No. 44
energy	-11.9	eV per cell

=====

Record 11
Cr2SiW after structural relaxation. Source: Alexandria via LeMat-Bulk, functional PBE.

Cell and atoms, written as POSCAR:
```
Cr2SiW
1.0
1.350 0.779 8.479
-1.350 0.779 8.479
0.000 -1.558 8.479
Cr Si W
2 1 1
Cartesian
0.000 0.000 6.218 Cr
0.000 0.000 19.218 Cr
0.000 0.000 12.718 Si
0.000 0.000 0.000 W
```

Output
crystal system	trigonal
raw formation energy	0.27	eV per atom
symmetry	R-3m, No. 166
energy	-36.6	eV per cell

=====

Record 12
SbP2Os after structural relaxation. Source: Alexandria via LeMat-Bulk, functional PBE.

Cell and atoms, written as POSCAR:
```
SbP2Os
1.0
1.502 -2.597 0.000
1.502 2.597 0.000
0.000 0.000 9.191
Sb P Os
1 2 1
Cartesian
0.000 0.000 0.000 Sb
1.502 0.000 2.707 P
1.502 0.000 6.485 P
0.000 0.000 4.596 Os
```

Output
crystal system	orthorhombic
raw formation energy	0.55	eV per atom
symmetry	Cmmm, No. 65
energy	-24.0	eV per cell

=====

Record 13
ZrRuS2Cl after structural relaxation. Source: Alexandria via LeMat-Bulk, functional PBE.

Cell and atoms, written as POSCAR:
```
ZrRuS2Cl
1.0
5.014 0.000 0.000
0.000 5.014 0.000
0.000 0.000 4.926
Zr Ru S Cl
1 1 2 1
Cartesian
0.000 0.000 0.000 Zr
2.507 2.507 2.463 Ru
0.000 2.507 0.000 S
2.507 0.000 0.000 S
0.000 0.000 2.463 Cl
```

Output
crystal system	tetragonal
raw formation energy	0.03	eV per atom
symmetry	P4/mmm, No. 123
energy	-27.8	eV per cell

=====

Record 14
PmPa2F8 after structural relaxation. Source: Alexandria via LeMat-Bulk, functional PBE.

Cell and atoms, written as POSCAR:
```
PmPa2F8
1.0
6.367 -2.480 0.000
6.367 2.480 0.000
-3.070 0.000 5.626
Pm Pa F
1 2 8
Cartesian
0.000 0.000 0.000 Pm
0.590 0.000 4.045 Pa
9.073 0.000 1.581 Pa
4.350 1.231 0.478 F
1.802 0.000 1.844 F
5.314 1.231 5.148 F
2.818 0.000 4.338 F
6.846 0.000 1.288 F
4.350 -1.231 0.478 F
7.862 0.000 3.782 F
5.314 -1.231 5.148 F
```

Output
crystal system	monoclinic
raw formation energy	-3.27	eV per atom
symmetry	C2/m, No. 12
energy	-74.7	eV per cell

=====

Record 15
La2FeMo after structural relaxation. Source: Alexandria via LeMat-Bulk, functional PBE.

Cell and atoms, written as POSCAR:
```
La2FeMo
1.0
1.910 -2.647 0.000
1.910 2.647 0.000
0.000 0.000 8.921
La Fe Mo
2 1 1
Cartesian
0.000 0.000 2.177 La
0.000 0.000 6.744 La
1.910 0.000 0.000 Fe
1.910 0.000 4.461 Mo
```

Output
ΔH_f (0 K)	0.638	eV/atom
crystal system	orthorhombic
symmetry	Cmmm, No. 65
energy	-26.6	eV per cell

=====

Record 16
KRuBr2 after structural relaxation. Source: Alexandria via LeMat-Bulk, functional PBE.

Cell and atoms, written as POSCAR:
```
KRuBr2
1.0
-1.889 1.980 7.378
1.889 -1.980 7.378
1.889 1.980 -7.378
K Ru Br
1 1 2
Cartesian
0.000 0.000 0.000 K
1.889 0.000 3.539 Ru
0.000 0.000 9.068 Br
0.000 1.980 4.759 Br
```

Output
crystal system	orthorhombic
raw formation energy	-0.12	eV per atom
symmetry	Imm2, No. 44
energy	-14.2	eV per cell

=====

Record 17
Rb3CdBi3 after structural relaxation. Source: Alexandria via LeMat-Bulk, functional PBE.

Cell and atoms, written as POSCAR:
```
Rb3CdBi3
1.0
6.531 -2.853 0.000
6.531 2.853 0.000
-6.426 0.000 15.921
Rb Cd Bi
6 2 6
Cartesian
-1.455 0.000 4.328 Rb
-1.469 0.000 9.219 Rb
-1.054 0.000 13.895 Rb
7.690 0.000 2.025 Rb
8.105 0.000 6.701 Rb
8.092 0.000 11.592 Rb
3.837 0.000 1.610 Cd
2.800 0.000 14.311 Cd
-4.879 0.000 15.418 Bi
2.468 0.000 4.312 Bi
2.342 0.000 9.139 Bi
4.295 0.000 6.782 Bi
4.169 0.000 11.609 Bi
11.516 0.000 0.503 Bi
```

Output
ΔH_f (0 K)	-0.316	eV/atom
crystal system	monoclinic
symmetry	C2/m, No. 12
energy	-35.3	eV per cell

=====

Record 18
TaTeAs after structural relaxation. Source: Alexandria via LeMat-Bulk, functional PBE.

Cell and atoms, written as POSCAR:
```
TaTeAs
1.0
-1.654 1.654 6.275
1.654 -1.654 6.275
1.654 1.654 -6.275
Ta Te As
1 1 1
Cartesian
0.000 0.000 0.000 Ta
0.000 0.000 8.100 Te
0.000 0.000 4.894 As
```

Output
crystal system	tetragonal
raw formation energy	-0.04	eV per atom
symmetry	I4mm, No. 107
energy	-19.8	eV per cell

=====

Record 19
CrCdIr2 after structural relaxation. Source: Alexandria via LeMat-Bulk, functional PBE.

Cell and atoms, written as POSCAR:
```
CrCdIr2
1.0
2.795 0.000 0.000
0.000 2.795 0.000
0.000 0.000 7.699
Cr Cd Ir
1 1 2
Cartesian
0.000 0.000 0.000 Cr
0.000 0.000 3.850 Cd
1.398 1.398 1.650 Ir
1.398 1.398 6.049 Ir
```

Output
ΔH_f (0 K)	-0.070	eV/atom
crystal system	tetragonal
symmetry	P4/mmm, No. 123
energy	-28.5	eV per cell